1.
The following is a DFT calculation (PBE) of a relaxed CoWSe2 crystal.

Structure (POSCAR):
```
CoWSe2
1.0
3.249 0.000 0.000
0.000 3.399 0.000
0.000 0.000 13.198
Co W Se
2 2 4
direct
0.000 0.000 0.000
0.500 0.500 0.500
0.000 0.500 0.346
0.500 0.000 0.846
0.000 0.000 0.496
0.000 0.500 0.750
0.500 0.000 0.250
0.500 0.500 0.996
```

Results
polymorph energy (0 for the lowest one)	216	meV per atom

=====

2.
The following is a DFT calculation (PBE) of a relaxed CoWSe2 crystal.

Structure (POSCAR):
```
CoWSe2
1.0
3.777 0.000 0.000
-1.889 3.271 0.000
0.000 0.000 6.908
Co W Se
1 1 2
direct
0.000 0.000 0.000
0.667 0.333 0.869
0.000 0.000 0.647
0.333 0.667 0.151
```

Results
polymorph energy (0 for the lowest one)	0	meV per atom